No. 1
Nd2Ho2CI2Br3 | PBE-GGA | relaxed

Results
Crystal system: monoclinic
Offset from the most stable computed form: 0.010 eV/atom
Space group: C2/m, No. 12

Unit cell a=9.541 b=9.541 c=8.310 alpha=102.11 beta=102.11 gamma=23.54
Fractional coordinates of all 10 atoms:
Br (0.153, 0.153, 0.346)
Br (0.500, 0.500, 0.500)
Br (0.847, 0.847, 0.654)
C (0.500, 0.500, 0.000)
Ho (0.999, 0.999, 0.197)
Ho (0.001, 0.001, 0.803)
I (0.832, 0.832, 0.203)
I (0.168, 0.168, 0.797)
Nd (0.638, 0.638, 0.073)
Nd (0.362, 0.362, 0.927)

---

No. 2
Er2TmIn3Ir2Pd | PBE-GGA | relaxed

Results
Calculated total energy: -5.724 eV/atom
Crystal system: orthorhombic
Space group: Amm2, No. 38

Unit cell a=3.825 b=7.580 c=7.580 alpha=119.83 beta=90.00 gamma=90.00
Fractional coordinates of all 9 atoms:
Er (0.000, 0.000, 0.411)
Er (0.000, 0.411, 0.000)
In (0.500, 0.261, 0.261)
In (0.500, 0.000, 0.739)
In (0.500, 0.739, 0.000)
Ir (0.500, 0.666, 0.334)
Ir (0.500, 0.334, 0.666)
Pd (0.000, 0.000, 0.000)
Tm (0.000, 0.590, 0.590)

---

Question: Number 1 is which compound?
Answer: Nd2Ho2CI2Br3